The following is a DFT calculation (PBE) of an optimized crystal structure of Sr5Bi2O2.

Output
The calculated density is 5.53 g/cm3. The crystal system is tetragonal. Its uncorrected formation energy is -1708 meV per atom. The total magnetization is 0.0000 μB per atom.

a b c (Å): 5.127 5.127 10.145
angles (deg): 90.00 90.00 90.00
Positions (direct):
Sr 0.500 0.500 0.500
Sr 0.000 0.500 0.779
Sr 0.500 0.000 0.779
Sr 0.500 0.000 0.221
Sr 0.000 0.500 0.221
O 0.500 0.500 0.740
O 0.500 0.500 0.260
Bi 0.000 0.000 0.000
Bi 0.000 0.000 0.500